(1)
# Ba6AuSe3Br2 | Alexandria | GGA-PBE | relaxed
data_Ba6AuSe3Br2
_cell_length_a 8.249
_cell_length_b 14.277
_cell_length_c 8.229
_cell_angle_alpha 90.00
_cell_angle_beta 109.62
_cell_angle_gamma 90.00
_symmetry_space_group_name_H-M 'C 1 2/m 1'
_symmetry_Int_Tables_number 12
loop_
_symmetry_equiv_pos_as_xyz
'x,y,z'
'-x,-y,-z'
'-x,y,-z'
'x,-y,z'
'x+1/2,y+1/2,z'
'-x+1/2,-y+1/2,-z'
'-x+1/2,y+1/2,-z'
'x+1/2,-y+1/2,z'
loop_
_atom_site_label
_atom_site_fract_x
_atom_site_fract_y
_atom_site_fract_z
_atom_site_occupancy
Ba1 0.235 0.000 0.236 1
Ba2 0.248 0.162 0.762 1
Au1 0.000 0.000 0.500 1
Se1 0.000 0.172 0.000 1
Se2 0.000 0.500 0.000 1
Br1 0.000 0.334 0.500 1
# Formation energy (no corrections) (eV/f.u.): -20.0
# M_tot (Bohr magnetons per cell): 4.9
# Calculated total energy (eV/atom): -4.05

---

(2)
# Hf2ScTi | Alexandria | GGA-PBE | relaxed
data_Hf2ScTi
_cell_length_a 7.703
_cell_length_b 7.703
_cell_length_c 5.925
_cell_angle_alpha 90.00
_cell_angle_beta 90.00
_cell_angle_gamma 90.00
_symmetry_space_group_name_H-M 'I -4 2 d'
_symmetry_Int_Tables_number 122
_symmetry_space_group_name_Hall 'I -4 2bw'
loop_
_atom_site_label
_atom_site_fract_x
_atom_site_fract_y
_atom_site_fract_z
_atom_site_occupancy
Hf1 0.236 0.250 0.125 1
Sc1 0.000 0.000 0.500 1
Ti1 0.000 0.000 0.000 1
# M_tot (Bohr magnetons per cell): 4.5
# Calculated formation energy (eV per formula unit): 2.38
# Calculated total energy (eV/atom): -7.94

---

(3)
# TbPm7Tl4 | Alexandria | GGA-PBE | relaxed
data_TbPm7Tl4
_cell_length_a 14.920
_cell_length_b 5.870
_cell_length_c 10.466
_cell_angle_alpha 90.00
_cell_angle_beta 122.90
_cell_angle_gamma 90.00
_symmetry_space_group_name_H-M 'C 1 2/m 1'
_symmetry_Int_Tables_number 12
loop_
_symmetry_equiv_pos_as_xyz
'x,y,z'
'-x,-y,-z'
'-x,y,-z'
'x,-y,z'
'x+1/2,y+1/2,z'
'-x+1/2,-y+1/2,-z'
'-x+1/2,y+1/2,-z'
'x+1/2,-y+1/2,z'
loop_
_atom_site_label
_atom_site_fract_x
_atom_site_fract_y
_atom_site_fract_z
_atom_site_occupancy
Tb1 0.000 0.000 0.000 1
Pm1 0.000 0.500 0.000 1
Pm2 0.062 0.000 0.395 1
Pm3 0.205 0.000 0.882 1
Pm4 0.229 0.500 0.669 1
Tl1 0.056 0.500 0.742 1
Tl2 0.186 0.500 0.334 1
# M_tot (Bohr magnetons per cell): 0.0
# Calculated formation energy (eV per formula unit): -0.76
# Calculated total energy (eV/atom): -4.01

---

(4)
# PmNd6Dy8 | Alexandria | GGA-PBE | relaxed
data_PmNd6Dy8
_cell_length_a 9.1422
_cell_length_b 9.1422
_cell_length_c 20.9277
_cell_angle_alpha 90.00
_cell_angle_beta 90.00
_cell_angle_gamma 120.00
_symmetry_space_group_name_H-M 'R -3'
_symmetry_Int_Tables_number 148
_symmetry_space_group_name_Hall '-R 3'
loop_
_atom_site_label
_atom_site_fract_x
_atom_site_fract_y
_atom_site_fract_z
_atom_site_occupancy
Pm1 0.0000 0.0000 0.0000 1
Nd1 0.0611 0.8136 0.7099 1
Dy1 0.0000 0.0000 0.4234 1
Dy2 0.0803 0.5251 0.8077 1
# M_tot (Bohr magnetons per cell): 0.0
# Calculated formation energy (eV per formula unit): 1.83
# Calculated total energy (eV/atom): -4.56

---

(5)
# ThCdN | Alexandria | GGA-PBE | relaxed
data_ThCdN
_cell_length_a 4.105
_cell_length_b 4.105
_cell_length_c 8.313
_cell_angle_alpha 90.00
_cell_angle_beta 90.00
_cell_angle_gamma 90.00
_symmetry_space_group_name_H-M 'P 4/n m m'
_symmetry_Int_Tables_number 129
loop_
_symmetry_equiv_pos_as_xyz
'x,y,z'
'-x,-y,-z'
'-y+1/2,x,z'
'y+1/2,-x,-z'
'-x+1/2,-y+1/2,z'
'x+1/2,y+1/2,-z'
'y,-x+1/2,z'
'-y,x+1/2,-z'
'x+1/2,-y,-z'
'-x+1/2,y,z'
'-y,-x,-z'
'y,x,z'
'-x,y+1/2,-z'
'x,-y+1/2,z'
'y+1/2,x+1/2,-z'
'-y+1/2,-x+1/2,z'
loop_
_atom_site_label
_atom_site_fract_x
_atom_site_fract_y
_atom_site_fract_z
_atom_site_occupancy
Th1 0.250 0.250 0.136 1
Cd1 0.250 0.250 0.578 1
N1 0.250 0.750 0.000 1
# Formation energy (no corrections) (eV/f.u.): -3.2
# M_tot (Bohr magnetons per cell): 0.0
# Calculated total energy (eV/atom): -6.63

---

(6)
# Th6Bi3H | Alexandria | GGA-PBE | relaxed
data_Th6Bi3H
_cell_length_a 12.073
_cell_length_b 16.724
_cell_length_c 5.719
_cell_angle_alpha 90.00
_cell_angle_beta 90.00
_cell_angle_gamma 90.00
_symmetry_space_group_name_H-M 'C m c 21'
_symmetry_Int_Tables_number 36
loop_
_symmetry_equiv_pos_as_xyz
'x,y,z'
'-x,-y,z+1/2'
'-x,y,z'
'x,-y,z+1/2'
'x+1/2,y+1/2,z'
'-x+1/2,-y+1/2,z+1/2'
'-x+1/2,y+1/2,z'
'x+1/2,-y+1/2,z+1/2'
loop_
_atom_site_label
_atom_site_fract_x
_atom_site_fract_y
_atom_site_fract_z
_atom_site_occupancy
Th1 0.000 0.076 0.000 1
Th2 0.000 0.247 0.350 1
Th3 0.166 0.424 0.495 1
Th4 0.172 0.260 0.847 1
Bi1 0.000 0.411 0.998 1
Bi2 0.164 0.089 0.507 1
H1 0.000 0.211 0.954 1
# M_tot (Bohr magnetons per cell): 0.0
# Calculated total energy (eV/atom): -6.29

---

(7)
# ZrSc2Co | Alexandria | GGA-PBE | relaxed
data_ZrSc2Co
_cell_length_a 5.841
_cell_length_b 8.907
_cell_length_c 3.083
_cell_angle_alpha 90.00
_cell_angle_beta 106.48
_cell_angle_gamma 90.00
_symmetry_space_group_name_H-M 'C 1 2/m 1'
_symmetry_Int_Tables_number 12
loop_
_symmetry_equiv_pos_as_xyz
'x,y,z'
'-x,-y,-z'
'-x,y,-z'
'x,-y,z'
'x+1/2,y+1/2,z'
'-x+1/2,-y+1/2,-z'
'-x+1/2,y+1/2,-z'
'x+1/2,-y+1/2,z'
loop_
_atom_site_label
_atom_site_fract_x
_atom_site_fract_y
_atom_site_fract_z
_atom_site_occupancy
Zr1 0.000 0.000 0.000 1
Sc1 0.250 0.250 0.500 1
Co1 0.000 0.500 0.000 1
# M_tot (Bohr magnetons per cell): 0.0
# Calculated formation energy (eV per formula unit): 0.75
# Calculated total energy (eV/atom): -6.89

---

(8)
# KYP2Se6 | Alexandria | GGA-PBE | relaxed
data_KYP2Se6
_cell_length_a 6.850
_cell_length_b 7.564
_cell_length_c 21.898
_cell_angle_alpha 90.00
_cell_angle_beta 90.00
_cell_angle_gamma 90.00
_symmetry_space_group_name_H-M 'P 21 21 21'
_symmetry_Int_Tables_number 19
loop_
_symmetry_equiv_pos_as_xyz
'x,y,z'
'-x+1/2,-y,z+1/2'
'x+1/2,-y+1/2,-z'
'-x,y+1/2,-z+1/2'
loop_
_atom_site_label
_atom_site_fract_x
_atom_site_fract_y
_atom_site_fract_z
_atom_site_occupancy
K1 0.124 0.015 0.496 1
Y1 0.218 0.181 0.251 1
P1 0.176 0.449 0.389 1
P2 0.192 0.328 0.834 1
Se1 0.068 0.872 0.331 1
Se2 0.074 0.871 0.171 1
Se3 0.087 0.735 0.629 1
Se4 0.113 0.765 0.880 1
Se5 0.119 0.540 0.481 1
Se6 0.129 0.452 0.742 1
# Formation energy (no corrections) (eV/f.u.): -8.0
# M_tot (Bohr magnetons per cell): 0.0
# Calculated total energy (eV/atom): -4.73

---

(9)
# SrCaGa2Cu2 | Alexandria | GGA-PBE | relaxed
data_SrCaGa2Cu2
_cell_length_a 4.4281
_cell_length_b 4.4281
_cell_length_c 7.8596
_cell_angle_alpha 90.00
_cell_angle_beta 90.00
_cell_angle_gamma 120.00
_symmetry_space_group_name_H-M 'P -3 m 1'
_symmetry_Int_Tables_number 164
_symmetry_space_group_name_Hall '-P 3 2"'
loop_
_atom_site_label
_atom_site_fract_x
_atom_site_fract_y
_atom_site_fract_z
_atom_site_occupancy
Sr1 0.0000 0.0000 0.0000 1
Ca1 0.0000 0.0000 0.5000 1
Ga1 0.3333 0.6667 0.2803 1
Cu1 0.3333 0.6667 0.7181 1
# M_tot (Bohr magnetons per cell): 0.0
# Calculated formation energy (eV per formula unit): -1.84
# Calculated total energy (eV/atom): -3.29

---

(10)
# La3Ho2Tl | Alexandria | GGA-PBE | relaxed
data_La3Ho2Tl
_cell_length_a 6.643
_cell_length_b 6.751
_cell_length_c 10.160
_cell_angle_alpha 101.08
_cell_angle_beta 99.86
_cell_angle_gamma 114.20
_symmetry_space_group_name_H-M 'P -1'
_symmetry_Int_Tables_number 2
loop_
_symmetry_equiv_pos_as_xyz
'x,y,z'
'-x,-y,-z'
loop_
_atom_site_label
_atom_site_fract_x
_atom_site_fract_y
_atom_site_fract_z
_atom_site_occupancy
La1 0.104 0.363 0.262 1
La2 0.232 0.443 0.944 1
La3 0.334 0.548 0.620 1
Ho1 0.198 0.939 0.403 1
Ho2 0.289 0.009 0.067 1
Tl1 0.385 0.115 0.733 1
# M_tot (Bohr magnetons per cell): 0.0
# Calculated formation energy (eV per formula unit): -0.64
# Calculated total energy (eV/atom): -4.49

---

(11)
# YAsS3 | Alexandria | GGA-PBE | relaxed
data_YAsS3
_cell_length_a 10.272
_cell_length_b 7.534
_cell_length_c 7.277
_cell_angle_alpha 90.00
_cell_angle_beta 90.00
_cell_angle_gamma 90.00
_symmetry_space_group_name_H-M 'A m a 2'
_symmetry_Int_Tables_number 40
loop_
_symmetry_equiv_pos_as_xyz
'x,y,z'
'-x,-y,z'
'-x+1/2,y,z'
'x+1/2,-y,z'
'x,y+1/2,z+1/2'
'-x,-y+1/2,z+1/2'
'-x+1/2,y+1/2,z+1/2'
'x+1/2,-y+1/2,z+1/2'
loop_
_atom_site_label
_atom_site_fract_x
_atom_site_fract_y
_atom_site_fract_z
_atom_site_occupancy
Y1 0.000 0.000 0.000 1
As1 0.250 0.175 0.371 1
S1 0.077 0.287 0.211 1
S2 0.250 0.389 0.598 1
# Formation energy (no corrections) (eV/f.u.): -5.3
# M_tot (Bohr magnetons per cell): 0.0
# Calculated total energy (eV/atom): -5.76

---

(12)
# HgSIO2 | Alexandria | GGA-PBE | relaxed
data_HgSIO2
_cell_length_a 3.929
_cell_length_b 3.929
_cell_length_c 7.371
_cell_angle_alpha 90.00
_cell_angle_beta 90.00
_cell_angle_gamma 90.00
_symmetry_space_group_name_H-M 'P 4/m m m'
_symmetry_Int_Tables_number 123
_symmetry_space_group_name_Hall '-P 4 2'
loop_
_atom_site_label
_atom_site_fract_x
_atom_site_fract_y
_atom_site_fract_z
_atom_site_occupancy
Hg1 0.000 0.000 0.000 1
S1 0.500 0.500 0.500 1
I1 0.500 0.500 0.000 1
O1 0.000 0.500 0.500 1
# Formation energy (no corrections) (eV/f.u.): 1.6
# M_tot (Bohr magnetons per cell): 0.0
# Calculated total energy (eV/atom): -2.85

---

(13)
# Mg8Ge2Ir | Alexandria | GGA-PBE | relaxed
data_Mg8Ge2Ir
_cell_length_a 15.671
_cell_length_b 4.519
_cell_length_c 6.715
_cell_angle_alpha 90.00
_cell_angle_beta 113.97
_cell_angle_gamma 90.00
_symmetry_space_group_name_H-M 'C 1 2/m 1'
_symmetry_Int_Tables_number 12
loop_
_symmetry_equiv_pos_as_xyz
'x,y,z'
'-x,-y,-z'
'-x,y,-z'
'x,-y,z'
'x+1/2,y+1/2,z'
'-x+1/2,-y+1/2,-z'
'-x+1/2,y+1/2,-z'
'x+1/2,-y+1/2,z'
loop_
_atom_site_label
_atom_site_fract_x
_atom_site_fract_y
_atom_site_fract_z
_atom_site_occupancy
Mg1 0.024 0.000 0.301 1
Mg2 0.097 0.500 0.932 1
Mg3 0.160 0.500 0.436 1
Mg4 0.182 0.000 0.765 1
Ge1 0.179 0.000 0.181 1
Ir1 0.000 0.500 0.500 1
# M_tot (Bohr magnetons per cell): 0.0
# Calculated formation energy (eV per formula unit): -2.48
# Calculated total energy (eV/atom): -3.03

---

(14)
# BaTe2Br | Alexandria | GGA-PBE | relaxed
data_BaTe2Br
_cell_length_a 4.469
_cell_length_b 4.468
_cell_length_c 7.784
_cell_angle_alpha 90.00
_cell_angle_beta 91.85
_cell_angle_gamma 90.00
_symmetry_space_group_name_H-M 'P 1 m 1'
_symmetry_Int_Tables_number 6
loop_
_symmetry_equiv_pos_as_xyz
'x,y,z'
'x,-y,z'
loop_
_atom_site_label
_atom_site_fract_x
_atom_site_fract_y
_atom_site_fract_z
_atom_site_occupancy
Ba1 0.000 0.000 0.000 1
Te1 0.021 0.500 0.361 1
Te2 0.521 0.000 0.361 1
Br1 0.493 0.500 0.868 1
# Formation energy (no corrections) (eV/f.u.): -4.9
# M_tot (Bohr magnetons per cell): 0.0
# Calculated total energy (eV/atom): -3.70

---

(15)
# Nd3IrSCl | Alexandria | GGA-PBE | relaxed
data_Nd3IrSCl
_cell_length_a 8.196
_cell_length_b 4.121
_cell_length_c 10.277
_cell_angle_alpha 90.00
_cell_angle_beta 93.86
_cell_angle_gamma 90.00
_symmetry_space_group_name_H-M 'P 1 21/m 1'
_symmetry_Int_Tables_number 11
loop_
_symmetry_equiv_pos_as_xyz
'x,y,z'
'-x,-y,-z'
'-x,y+1/2,-z'
'x,-y+1/2,z'
loop_
_atom_site_label
_atom_site_fract_x
_atom_site_fract_y
_atom_site_fract_z
_atom_site_occupancy
Nd1 0.149 0.250 0.323 1
Nd2 0.157 0.250 0.892 1
Nd3 0.330 0.750 0.613 1
Ir1 0.078 0.250 0.612 1
S1 0.409 0.750 0.347 1
Cl1 0.388 0.750 0.898 1
# Formation energy (no corrections) (eV/f.u.): -7.5
# M_tot (Bohr magnetons per cell): 0.0
# Calculated total energy (eV/atom): -6.11

---

(16)
# PrEr7Sc2 | Alexandria | GGA-PBE | relaxed
data_PrEr7Sc2
_cell_length_a 8.732
_cell_length_b 15.065
_cell_length_c 5.572
_cell_angle_alpha 90.00
_cell_angle_beta 90.00
_cell_angle_gamma 90.00
_symmetry_space_group_name_H-M 'C m m m'
_symmetry_Int_Tables_number 65
_symmetry_space_group_name_Hall '-C 2 2'
loop_
_atom_site_label
_atom_site_fract_x
_atom_site_fract_y
_atom_site_fract_z
_atom_site_occupancy
Pr1 0.000 0.000 0.000 1
Er1 0.000 0.241 0.000 1
Er2 0.000 0.500 0.500 1
Er3 0.181 0.122 0.500 1
Sc1 0.000 0.296 0.500 1
# M_tot (Bohr magnetons per cell): 0.0
# Calculated formation energy (eV per formula unit): 6.66
# Calculated total energy (eV/atom): -4.27

---

(17)
# TbCe2Ru | Alexandria | GGA-PBE | relaxed
data_TbCe2Ru
_cell_length_a 3.730
_cell_length_b 11.473
_cell_length_c 9.570
_cell_angle_alpha 90.00
_cell_angle_beta 90.00
_cell_angle_gamma 90.00
_symmetry_space_group_name_H-M 'C m c m'
_symmetry_Int_Tables_number 63
_symmetry_space_group_name_Hall '-C 2c 2'
loop_
_atom_site_label
_atom_site_fract_x
_atom_site_fract_y
_atom_site_fract_z
_atom_site_occupancy
Tb1 0.000 0.080 0.250 1
Ce1 0.000 0.360 0.060 1
Ru1 0.000 0.204 0.750 1
# M_tot (Bohr magnetons per cell): 0.0
# Calculated formation energy (eV per formula unit): -0.90
# Calculated total energy (eV/atom): -6.67

---

(18)
# SrMgZnF6 | Alexandria | GGA-PBE | relaxed
data_SrMgZnF6
_cell_length_a 5.3605
_cell_length_b 5.3605
_cell_length_c 10.4770
_cell_angle_alpha 90.00
_cell_angle_beta 90.00
_cell_angle_gamma 120.00
_symmetry_space_group_name_H-M 'P -3 1 c'
_symmetry_Int_Tables_number 163
_symmetry_space_group_name_Hall '-P 3 2c'
loop_
_atom_site_label
_atom_site_fract_x
_atom_site_fract_y
_atom_site_fract_z
_atom_site_occupancy
Sr1 0.0000 0.0000 0.0000 1
Mg1 0.3333 0.6667 0.2500 1
Zn1 0.3333 0.6667 0.7500 1
F1 0.0075 0.3690 0.1434 1
# Formation energy (no corrections) (eV/f.u.): -29.4
# M_tot (Bohr magnetons per cell): 0.0
# Calculated total energy (eV/atom): -5.03

---

(19)
# AlMo2Rh | Alexandria | GGA-PBE | relaxed
data_AlMo2Rh
_cell_length_a 2.7978
_cell_length_b 2.7978
_cell_length_c 27.0819
_cell_angle_alpha 90.00
_cell_angle_beta 90.00
_cell_angle_gamma 120.00
_symmetry_space_group_name_H-M 'R -3 m'
_symmetry_Int_Tables_number 166
_symmetry_space_group_name_Hall '-R 3 2"'
loop_
_atom_site_label
_atom_site_fract_x
_atom_site_fract_y
_atom_site_fract_z
_atom_site_occupancy
Al1 0.0000 0.0000 0.0000 1
Mo1 0.0000 0.0000 0.2486 1
Rh1 0.0000 0.0000 0.5000 1
# M_tot (Bohr magnetons per cell): 0.0
# Calculated formation energy (eV per formula unit): -0.11
# Calculated total energy (eV/atom): -8.22